No. 1
Entry from Alexandria via LeMat-Bulk: Pr2Ni5Ge2 after structural relaxation (GGA-PBE).

a = 4.216 Å, b = 4.216 Å, c = 8.406 Å
α = 90.00°, β = 90.00°, γ = 90.00°
Atoms (fractional coordinates):
Ge (0.500, 0.500, 0.839)
Ge (0.500, 0.500, 0.161)
Ni (0.500, 0.000, 0.281)
Ni (0.000, 0.500, 0.719)
Ni (0.000, 0.500, 0.281)
Ni (0.500, 0.500, 0.500)
Ni (0.500, 0.000, 0.719)
Pr (0.000, 0.000, 0.000)
Pr (0.000, 0.000, 0.500)

ΔH_f (0 K)	-0.396	eV per atom

No. 2
Entry from Alexandria via LeMat-Bulk: DyTmZnCu after structural relaxation (GGA-PBE).

a = 3.488 Å, b = 3.488 Å, c = 7.007 Å
α = 90.00°, β = 90.00°, γ = 90.00°
Atoms (fractional coordinates):
Cu (0.500, 0.500, 0.600)
Zn (0.500, 0.500, 0.113)
Dy (0.000, 0.000, 0.851)
Tm (0.000, 0.000, 0.365)

ΔH_f (0 K)	-0.307	eV per atom

No. 3
Entry from Alexandria via LeMat-Bulk: LiNiMo4 after structural relaxation (GGA-PBE).

a = 5.177 Å, b = 5.177 Å, c = 5.177 Å
α = 60.00°, β = 60.00°, γ = 60.00°
Atoms (fractional coordinates):
Ni (0.750, 0.750, 0.750)
Mo (0.374, 0.878, 0.374)
Mo (0.878, 0.374, 0.374)
Mo (0.374, 0.374, 0.878)
Mo (0.374, 0.374, 0.374)
Li (0.000, 0.000, 0.000)

ΔH_f (0 K)	0.580	eV per atom

No. 4
Entry from Alexandria via LeMat-Bulk: Ti2Si2Hg after structural relaxation (GGA-PBE).

a = 6.755 Å, b = 6.755 Å, c = 3.522 Å
α = 90.00°, β = 90.00°, γ = 90.00°
Atoms (fractional coordinates):
Si (0.379, 0.879, 0.000)
Si (0.121, 0.379, 0.000)
Si (0.621, 0.121, 0.000)
Si (0.879, 0.621, 0.000)
Ti (0.826, 0.326, 0.500)
Ti (0.174, 0.674, 0.500)
Ti (0.326, 0.174, 0.500)
Ti (0.674, 0.826, 0.500)
Hg (0.000, 0.000, 0.000)
Hg (0.500, 0.500, 0.000)

No. 5
Entry from Alexandria via LeMat-Bulk: SmEuGaRu after structural relaxation (GGA-PBE).

a = 5.053 Å, b = 5.053 Å, c = 5.053 Å
α = 60.00°, β = 60.00°, γ = 60.00°
Site moments in Bohr magnetons follow the coordinates.
Atoms (fractional coordinates):
Ga (0.250, 0.250, 0.250)  -0.01
Sm (0.000, 0.000, 0.000)  0.01
Ru (0.750, 0.750, 0.750)  -0.29
Eu (0.500, 0.500, 0.500)  6.71

ΔH_f (0 K)	-0.193	eV per atom

No. 6
Entry from Alexandria via LeMat-Bulk: LuInGa after structural relaxation (GGA-PBE).

a = 4.685 Å, b = 4.685 Å, c = 4.685 Å
α = 60.00°, β = 60.00°, γ = 60.00°
Atoms (fractional coordinates):
Lu (0.500, 0.500, 0.500)
In (0.000, 0.000, 0.000)
Ga (0.250, 0.250, 0.250)

ΔH_f (0 K)	-0.282	eV per atom

No. 7
Entry from Alexandria via LeMat-Bulk: TlZnSn after structural relaxation (GGA-PBE).

a = 3.412 Å, b = 3.412 Å, c = 6.915 Å
α = 104.28°, β = 104.28°, γ = 90.00°
Atoms (fractional coordinates):
Zn (0.677, 0.677, 0.353)
Sn (0.310, 0.310, 0.620)
Tl (0.013, 0.013, 0.026)

ΔH_f (0 K)	0.110	eV per atom

No. 8
Entry from Alexandria via LeMat-Bulk: K2AsS4 after structural relaxation (GGA-PBE).

a = 4.940 Å, b = 4.940 Å, c = 8.590 Å
α = 73.29°, β = 73.29°, γ = 90.00°
Site moments in Bohr magnetons follow the coordinates.
Atoms (fractional coordinates):
S (0.000, 0.500, 0.000)  0.16
S (0.147, 0.147, 0.706)  0.19
S (0.853, 0.853, 0.294)  0.19
S (0.500, 0.000, 0.000)  0.16
K (0.642, 0.642, 0.717)  0.00
K (0.358, 0.358, 0.283)  0.00
As (0.000, 0.000, 0.000)  0.04

No. 9
Entry from Alexandria via LeMat-Bulk: LaScGa2Rh2 after structural relaxation (GGA-PBE).

a = 4.397 Å, b = 4.397 Å, c = 7.127 Å
α = 90.00°, β = 90.00°, γ = 120.00°
Atoms (fractional coordinates):
Sc (0.000, 0.000, 0.500)
Rh (0.667, 0.333, 0.354)
Rh (0.333, 0.667, 0.646)
Ga (0.333, 0.667, 0.278)
Ga (0.667, 0.333, 0.722)
La (0.000, 0.000, 0.000)

ΔH_f (0 K)	-0.857	eV per atom

No. 10
Entry from Alexandria via LeMat-Bulk: Rb2LiBr2O6 after structural relaxation (GGA-PBE).

a = 6.094 Å, b = 6.094 Å, c = 7.937 Å
α = 67.42°, β = 67.42°, γ = 60.00°
Atoms (fractional coordinates):
O (0.236, 0.725, 0.803)
O (0.764, 0.275, 0.197)
O (0.275, 0.764, 0.197)
O (0.236, 0.236, 0.803)
O (0.764, 0.764, 0.197)
O (0.725, 0.236, 0.803)
Rb (0.257, 0.257, 0.230)
Rb (0.743, 0.743, 0.770)
Li (0.000, 0.000, 0.000)
Br (0.580, 0.580, 0.259)
Br (0.420, 0.420, 0.741)

No. 11
Entry from Alexandria via LeMat-Bulk: SrAcMg after structural relaxation (GGA-PBE).

a = 8.198 Å, b = 8.198 Å, c = 10.135 Å
α = 114.44°, β = 114.45°, γ = 88.67°
Atoms (fractional coordinates):
Mg (0.285, 0.210, 0.000)
Mg (0.040, 0.465, 0.500)
Mg (0.790, 0.715, 0.000)
Mg (0.535, 0.960, 0.500)
Sr (0.914, 0.339, 0.753)
Sr (0.661, 0.086, 0.247)
Sr (0.664, 0.589, 0.253)
Sr (0.411, 0.336, 0.747)
Ac (0.168, 0.593, 0.261)
Ac (0.407, 0.832, 0.739)
Ac (0.157, 0.082, 0.239)
Ac (0.918, 0.843, 0.761)

ΔH_f (0 K)	0.233	eV per atom

No. 12
Entry from Alexandria via LeMat-Bulk: Th2AgPd2 after structural relaxation (GGA-PBE).

a = 3.843 Å, b = 7.841 Å, c = 7.841 Å
α = 90.00°, β = 90.00°, γ = 90.00°
Atoms (fractional coordinates):
Pd (0.000, 0.128, 0.372)
Pd (0.000, 0.628, 0.128)
Pd (0.000, 0.372, 0.872)
Pd (0.000, 0.872, 0.628)
Ag (0.000, 0.500, 0.500)
Ag (0.000, 0.000, 0.000)
Th (0.500, 0.675, 0.825)
Th (0.500, 0.175, 0.675)
Th (0.500, 0.825, 0.325)
Th (0.500, 0.325, 0.175)

ΔH_f (0 K)	-0.645	eV per atom

| no. | DOS(E_F) (states/eV per cell) | total energy (eV for the cell shown) |
| --- | --- | --- |
| 1 | 5.64 | -51.26 |
| 2 | 2.63 | -15.67 |
| 3 | 3.85 | -47.54 |
| 4 | 9.78 | -56.93 |
| 5 | 4.41 | -28.07 |
| 6 | 1.22 | -11.13 |
| 7 | 0.94 | -7.31 |
| 8 | 7.22 | -25.16 |
| 9 | 4.57 | -37.16 |
| 10 | 3.61 | -42.94 |
| 11 | 18.15 | -26.74 |
| 12 | 8.34 | -62.60 |